Compound: Al5As
Source: the Alexandria database
Functional: PBE
Structure: optimized geometry

Structure (POSCAR):
```
Al5As
1.0
-0.1254 0.8489 2.8851
1.2692 -2.6029 0.8210
10.2485 4.7013 -0.9377
Al As
5 1
direct
0.0000 0.0000 0.8321
0.0000 0.0000 0.1679
0.5000 0.5000 0.6653
0.5000 0.5000 0.3347
0.0000 0.0000 0.5000
0.5000 0.5000 0.0000
```

ΔH_f (0 K)   0.4 eV/f.u.
Magnetic moment   0.000 μB per atom
ΔE to the lowest computed polymorph   0.013 eV per atom
DFT total energy   -3.821 eV/atom
Space group   P4/mmm, No. 123